First-principles (PBE) data for a relaxed structure of TePb2Au, as listed in the Alexandria database.

Cell lengths 8.1019, 8.1019, 8.1019 Å; angles 128.66, 128.66, 75.56 degrees
Sites, in units of the cell vectors:
Te: 0.0000 0.0000 0.0000
Te: 0.7500 0.2500 0.5000
Pb: 0.1576 0.6250 0.0326
Pb: 0.3750 0.4076 0.5326
Pb: 0.5924 0.1250 0.9674
Pb: 0.8750 0.8424 0.4674
Au: 0.2500 0.7500 0.5000
Au: 0.5000 0.5000 0.0000

## Properties
Uncorrected energy (eV/cell): -27.89
Raw formation energy (eV/atom): -0.027


First-principles (PBE) data for a relaxed structure of Te2PbAu, as listed in the Alexandria database.

Cell lengths 9.8190, 9.8190, 9.8190 Å; angles 23.51, 23.51, 23.51 degrees
Sites, in units of the cell vectors:
Te: 0.1110 0.1110 0.1110
Te: 0.8890 0.8890 0.8890
Pb: 0.0000 0.0000 0.0000
Au: 0.5000 0.5000 0.5000

## Properties
Uncorrected energy (eV/cell): -12.89
Raw formation energy (eV/atom): 0.094


First-principles (PBE) data for a relaxed structure of TePb2Au, as listed in the Alexandria database.

Cell lengths 7.9646, 7.9646, 7.9646 Å; angles 31.65, 31.65, 31.65 degrees
Sites, in units of the cell vectors:
Te: 0.0000 0.0000 0.0000
Pb: 0.2408 0.2408 0.2408
Pb: 0.4263 0.4263 0.4263
Au: 0.8329 0.8329 0.8329

## Properties
Uncorrected energy (eV/cell): -14.39
Raw formation energy (eV/atom): -0.138